No. 1
Compound: La2AsRuN
Source: Alexandria
Functional: PBE
Structure: optimized geometry

Values from the calculation:
Raw formation energy (eV/atom): -0.912
Density of states at the Fermi level (states/eV/f.u.): 5.454

abc: 5.265 5.265 3.869
angles: 90.00 90.00 90.00
Space group P4/mmm (No. 123)
Inequivalent atoms, fractional coordinates:
La 0.000 0.500 0.000 (multiplicity 2)
As 0.000 0.000 0.500 (multiplicity 1)
Ru 0.500 0.500 0.500 (multiplicity 1)
N 0.500 0.500 0.000 (multiplicity 1)

***

No. 2
Compound: La4AsS2N2
Source: Alexandria
Functional: PBE
Structure: optimized geometry

Values from the calculation:
Raw formation energy (eV/atom): -1.578
Density of states at the Fermi level (states/eV/f.u.): 5.300

abc: 16.248 3.938 8.476
angles: 90.00 120.74 90.00
Space group C2/m (No. 12)
Inequivalent atoms, fractional coordinates:
La 0.015 0.000 0.297 (multiplicity 4)
La 0.230 0.500 0.300 (multiplicity 4)
As 0.000 0.500 0.000 (multiplicity 2)
S 0.118 0.500 0.674 (multiplicity 4)
N 0.171 0.000 0.379 (multiplicity 4)

***

No. 3
Compound: La2AsSN
Source: Alexandria
Functional: PBE
Structure: optimized geometry

Values from the calculation:
Raw formation energy (eV/atom): -0.486
Density of states at the Fermi level (states/eV/f.u.): 2.073

abc: 5.606 5.606 3.919
angles: 90.00 90.00 90.00
Space group P4/mmm (No. 123)
Inequivalent atoms, fractional coordinates:
La 0.000 0.500 0.000 (multiplicity 2)
As 0.000 0.000 0.000 (multiplicity 1)
S 0.500 0.500 0.500 (multiplicity 1)
N 0.000 0.000 0.500 (multiplicity 1)

***

No. 4
Compound: La8As3S3N
Source: Alexandria
Functional: PBE
Structure: optimized geometry

Values from the calculation:
Raw formation energy (eV/atom): -1.638
Density of states at the Fermi level (states/eV/f.u.): 8.479

abc: 8.4389 8.4389 20.6431
angles: 90.00 90.00 120.00
Space group R-3m (No. 166, hexagonal axes)
Inequivalent atoms, fractional coordinates:
La 0.0000 0.0000 0.2483 (multiplicity 6)
La 0.0315 0.5158 0.2405 (multiplicity 18)
As 0.0000 0.5000 0.0000 (multiplicity 9)
S 0.0000 0.5000 0.5000 (multiplicity 9)
N 0.0000 0.0000 0.5000 (multiplicity 3)